[1]
Below is a PBEsol-optimized structure of IrINO2, with properties calculated at the meta-GGA SCAN level.

Cell lengths 3.980, 3.980, 3.898 Å; angles 90.00, 90.00, 90.00 degrees
Sites, in units of the cell vectors:
Ir 0.000 0.000 0.000
I 0.500 0.500 0.500
N 0.000 0.000 0.500
O 0.000 0.500 0.000
O 0.500 0.000 0.000

Computed properties:
**Energy relative to the elements, uncorrected**: 2.480 eV per formula unit
**M_tot**: 0.00 μB/f.u.
**DFT total energy**: -25.42 eV per atom

[2]
Below is a PBEsol-optimized structure of IrOsIN2, with properties calculated at the meta-GGA SCAN level.

Cell lengths 3.722, 3.722, 6.928 Å; angles 90.00, 90.00, 90.00 degrees
Sites, in units of the cell vectors:
Ir 0.000 0.000 0.000
Os 0.500 0.500 0.500
I 0.000 0.000 0.500
N 0.000 0.500 0.000
N 0.500 0.000 0.000

Computed properties:
**Energy relative to the elements, uncorrected**: 8.485 eV per formula unit
**M_tot**: 1.58 μB/f.u.
**DFT total energy**: -37.96 eV per atom

[3]
Below is a PBEsol-optimized structure of IrOsI2N, with properties calculated at the meta-GGA SCAN level.

Cell lengths 5.339, 5.339, 3.591 Å; angles 90.00, 90.00, 90.00 degrees
Sites, in units of the cell vectors:
Ir 0.000 0.000 0.000
Os 0.500 0.500 0.500
I 0.000 0.500 0.000
I 0.500 0.000 0.000
N 0.000 0.000 0.500

Computed properties:
**Energy relative to the elements, uncorrected**: 7.553 eV per formula unit
**M_tot**: 0.00 μB/f.u.
**DFT total energy**: -43.64 eV per atom

[4]
Below is a PBEsol-optimized structure of IrPbIN2, with properties calculated at the meta-GGA SCAN level.

Cell lengths 3.966, 3.966, 6.858 Å; angles 90.00, 90.00, 90.00 degrees
Sites, in units of the cell vectors:
Ir 0.000 0.000 0.000
Pb 0.500 0.500 0.500
I 0.000 0.000 0.500
N 0.000 0.500 0.000
N 0.500 0.000 0.000

Computed properties:
**Energy relative to the elements, uncorrected**: 6.272 eV per formula unit
**M_tot**: 0.00 μB/f.u.
**DFT total energy**: -39.19 eV per atom

[5]
Below is a PBEsol-optimized structure of IrPtI2N, with properties calculated at the meta-GGA SCAN level.

Cell lengths 5.433, 5.433, 3.599 Å; angles 90.00, 90.00, 90.00 degrees
Sites, in units of the cell vectors:
Ir 0.000 0.000 0.000
Pt 0.500 0.500 0.500
I 0.000 0.500 0.500
I 0.500 0.000 0.500
N 0.500 0.500 0.000

Computed properties:
**Energy relative to the elements, uncorrected**: 6.639 eV per formula unit
**M_tot**: 0.86 μB/f.u.
**DFT total energy**: -43.49 eV per atom

[6]
Below is a PBEsol-optimized structure of Sb2IrIN, with properties calculated at the meta-GGA SCAN level.

Cell lengths 5.777, 5.777, 4.786 Å; angles 90.00, 90.00, 90.00 degrees
Sites, in units of the cell vectors:
Sb 0.000 0.500 0.000
Sb 0.500 0.000 0.000
Ir 0.000 0.000 0.500
I 0.000 0.000 0.000
N 0.500 0.500 0.500

Computed properties:
**Energy relative to the elements, uncorrected**: 12.513 eV per formula unit
**M_tot**: 1.68 μB/f.u.
**DFT total energy**: -35.83 eV per atom

[7]
Below is a PBEsol-optimized structure of IrSeIN2, with properties calculated at the meta-GGA SCAN level.

Cell lengths 3.697, 3.697, 7.049 Å; angles 90.00, 90.00, 90.00 degrees
Sites, in units of the cell vectors:
Ir 0.000 0.000 0.000
Se 0.500 0.500 0.500
I 0.500 0.500 0.000
N 0.000 0.500 0.500
N 0.500 0.000 0.500

Computed properties:
**Energy relative to the elements, uncorrected**: 10.208 eV per formula unit
**M_tot**: 1.21 μB/f.u.
**DFT total energy**: -27.26 eV per atom

[8]
Below is a PBEsol-optimized structure of TaIrIN2, with properties calculated at the meta-GGA SCAN level.

Cell lengths 3.926, 3.926, 5.855 Å; angles 90.00, 90.00, 90.00 degrees
Sites, in units of the cell vectors:
Ta 0.000 0.000 0.000
Ir 0.500 0.500 0.500
I 0.000 0.000 0.500
N 0.000 0.500 0.000
N 0.500 0.000 0.000

Computed properties:
**Energy relative to the elements, uncorrected**: 4.672 eV per formula unit
**M_tot**: 1.98 μB/f.u.
**DFT total energy**: -37.67 eV per atom